[1]
DFT (PBE) results for a geometry-optimized LiCeTe2 structure.

Energy relative to the elements, uncorrected: -1209 meV/atom
Space-group type: C2/c, No. 15

Unit cell a=6.2963 b=6.2963 c=7.7065 alpha=114.10 beta=114.10 gamma=90.01
With the nearest neighbours (Å) after each atom.
Fractional coordinates of all 8 atoms:
Li 0.1238 0.8762 0.7500  6 Te 3.12-3.15
Li 0.8762 0.1238 0.2500  6 Te 3.12-3.15
Ce 0.3749 0.6251 0.2500  6 Te 3.15-3.17
Ce 0.6251 0.3749 0.7500  6 Te 3.15-3.17
Te 0.1233 0.3735 0.7467  3 Li 3.12-3.15, 3 Ce 3.15-3.17
Te 0.3735 0.1233 0.2467  3 Li 3.12-3.15, 3 Ce 3.15-3.17
Te 0.6265 0.8767 0.7533  3 Li 3.12-3.15, 3 Ce 3.15-3.17
Te 0.8767 0.6265 0.2533  3 Li 3.12-3.15, 3 Ce 3.15-3.17

***

[2]
DFT (PBE) results for a geometry-optimized MgScCu2As structure.

E_tot: -3.477 eV per atom
Space-group type: P4/mmm, No. 123

Unit cell a=4.4280 b=4.4280 c=5.3971 alpha=90.00 beta=90.00 gamma=90.00
With the nearest neighbours (Å) after each atom.
Fractional coordinates of all 5 atoms:
Mg 0.0000 0.0000 0.0000  4 Cu 2.21
Sc 0.0000 0.0000 0.5000  2 Mg 2.70
Cu 0.0000 0.5000 0.0000  2 Mg 2.21
Cu 0.5000 0.0000 0.0000  2 Mg 2.21
As 0.5000 0.5000 0.5000  4 Sc 3.13, 8 Cu 3.49

***

Question: Which formula does entry 1 have?
Answer: LiCeTe2